(1)
Below is a relaxed structure of SrCrCo2, with properties calculated at the PBE level.

Excess energy over the best structure of this formula in the dataset (meV per atom): 666
Space group: No. 10
Formation energy (eV/atom): 0.986
M_tot (μB/f.u.): 6.8

Geometry as CIF:
```
data_SrCrCo2
_cell_length_a 3.881
_cell_length_b 4.389
_cell_length_c 6.028
_cell_angle_alpha 43.09
_cell_angle_beta 90.00
_cell_angle_gamma 90.00
_space_group_name_H-M_alt 'P 1'
_space_group_IT_number 1
loop_
_space_group_symop_operation_xyz
'x,y,z'
loop_
_atom_site_label
_atom_site_type_symbol
_atom_site_fract_x
_atom_site_fract_y
_atom_site_fract_z
Cr1 Cr 0.500 0.500 0.500
Co1 Co 0.500 0.500 0.000
Co2 Co 0.000 0.000 0.000
Sr1 Sr 0.000 0.000 0.500
```

(2)
Below is a relaxed structure of Mg2TlCd, with properties calculated at the PBE level.

Space group: No. 10
Formation energy (eV/atom): -0.056
M_tot (μB/f.u.): 0.0

Geometry as CIF:
```
data_Mg2TlCd
_cell_length_a 4.138
_cell_length_b 3.353
_cell_length_c 7.532
_cell_angle_alpha 62.86
_cell_angle_beta 90.00
_cell_angle_gamma 90.00
_space_group_name_H-M_alt 'P 1'
_space_group_IT_number 1
loop_
_space_group_symop_operation_xyz
'x,y,z'
loop_
_atom_site_label
_atom_site_type_symbol
_atom_site_fract_x
_atom_site_fract_y
_atom_site_fract_z
Cd1 Cd 0.500 0.750 0.750
Mg1 Mg 0.000 0.011 0.992
Mg2 Mg 0.000 0.489 0.508
Tl1 Tl 0.500 0.250 0.250
```

(3)
Below is a relaxed structure of Zr5P3, with properties calculated at the PBE level.

Excess energy over the best structure of this formula in the dataset (meV per atom): 0
Space group: No. 193
Formation energy (eV/atom): -1.108
M_tot (μB/f.u.): 0.0

Geometry as CIF:
```
data_Zr5P3
_cell_length_a 7.818
_cell_length_b 7.818
_cell_length_c 5.521
_cell_angle_alpha 90.00
_cell_angle_beta 90.00
_cell_angle_gamma 120.00
_space_group_name_H-M_alt 'P 1'
_space_group_IT_number 1
loop_
_space_group_symop_operation_xyz
'x,y,z'
loop_
_atom_site_label
_atom_site_type_symbol
_atom_site_fract_x
_atom_site_fract_y
_atom_site_fract_z
P1 P 0.616 0.616 0.750
P2 P 0.000 0.616 0.250
P3 P 0.000 0.384 0.750
P4 P 0.384 0.000 0.750
P5 P 0.384 0.384 0.250
P6 P 0.616 0.000 0.250
Zr1 Zr 0.000 0.741 0.750
Zr2 Zr 0.667 0.333 0.500
Zr3 Zr 0.000 0.259 0.250
Zr4 Zr 0.741 0.741 0.250
Zr5 Zr 0.667 0.333 0.000
Zr6 Zr 0.333 0.667 0.500
Zr7 Zr 0.333 0.667 0.000
Zr8 Zr 0.259 0.259 0.750
Zr9 Zr 0.741 0.000 0.750
Zr10 Zr 0.259 0.000 0.250
```

(4)
Below is a relaxed structure of Mn2SeS, with properties calculated at the PBE level.

Excess energy over the best structure of this formula in the dataset (meV per atom): 600
Space group: No. 225
ΔE_f (raw) (eV per atom): 0.1878
M_tot (μB/f.u.): 0.0

Geometry as CIF:
```
data_Mn2SeS
_cell_length_a 4.116
_cell_length_b 4.116
_cell_length_c 4.116
_cell_angle_alpha 60.00
_cell_angle_beta 60.00
_cell_angle_gamma 60.00
_space_group_name_H-M_alt 'P 1'
_space_group_IT_number 1
loop_
_space_group_symop_operation_xyz
'x,y,z'
loop_
_atom_site_label
_atom_site_type_symbol
_atom_site_fract_x
_atom_site_fract_y
_atom_site_fract_z
Mn1 Mn 0.750 0.750 0.750
Mn2 Mn 0.250 0.250 0.250
Se1 Se 0.500 0.500 0.500
S1 S 0.000 0.000 0.000
```

(5)
Below is a relaxed structure of AcPr6Er, with properties calculated at the PBE level.

Space group: No. 123
Formation energy (eV/atom): 0.024
M_tot (μB/f.u.): 0.0

Geometry as CIF:
```
data_AcPr6Er
_cell_length_a 5.266
_cell_length_b 5.266
_cell_length_c 10.528
_cell_angle_alpha 90.00
_cell_angle_beta 90.00
_cell_angle_gamma 90.00
_space_group_name_H-M_alt 'P 1'
_space_group_IT_number 1
loop_
_space_group_symop_operation_xyz
'x,y,z'
loop_
_atom_site_label
_atom_site_type_symbol
_atom_site_fract_x
_atom_site_fract_y
_atom_site_fract_z
Ac1 Ac 0.000 0.000 0.000
Er1 Er 0.000 0.000 0.500
Pr1 Pr 0.000 0.500 0.742
Pr2 Pr 0.500 0.000 0.742
Pr3 Pr 0.500 0.500 0.000
Pr4 Pr 0.500 0.500 0.500
Pr5 Pr 0.500 0.000 0.258
Pr6 Pr 0.000 0.500 0.258
```

(6)
Below is a relaxed structure of Nd2MgZn2Ni5, with properties calculated at the PBE level.

Space group: No. 127
Formation energy (eV/atom): -0.176
M_tot (μB/f.u.): 0.0

Geometry as CIF:
```
data_Nd2MgZn2Ni5
_cell_length_a 3.657
_cell_length_b 9.549
_cell_length_c 9.549
_cell_angle_alpha 90.00
_cell_angle_beta 90.00
_cell_angle_gamma 90.00
_space_group_name_H-M_alt 'P 1'
_space_group_IT_number 1
loop_
_space_group_symop_operation_xyz
'x,y,z'
loop_
_atom_site_label
_atom_site_type_symbol
_atom_site_fract_x
_atom_site_fract_y
_atom_site_fract_z
Ni1 Ni 0.500 0.000 0.500
Ni2 Ni 0.500 0.938 0.217
Ni3 Ni 0.500 0.217 0.062
Ni4 Ni 0.500 0.783 0.938
Ni5 Ni 0.500 0.283 0.562
Ni6 Ni 0.500 0.062 0.783
Ni7 Ni 0.500 0.500 0.000
Ni8 Ni 0.500 0.717 0.438
Ni9 Ni 0.500 0.438 0.283
Ni10 Ni 0.500 0.562 0.717
Zn1 Zn 0.000 0.614 0.886
Zn2 Zn 0.000 0.886 0.386
Zn3 Zn 0.000 0.114 0.614
Zn4 Zn 0.000 0.386 0.114
Mg1 Mg 0.000 0.500 0.500
Mg2 Mg 0.000 0.000 0.000
Nd1 Nd 0.000 0.682 0.182
Nd2 Nd 0.000 0.318 0.818
Nd3 Nd 0.000 0.182 0.318
Nd4 Nd 0.000 0.818 0.682
```

(7)
Below is a relaxed structure of ZnTeAs2, with properties calculated at the PBE level.

Excess energy over the best structure of this formula in the dataset (meV per atom): 404
Space group: No. 71
ΔE_f (raw) (eV per atom): 0.2904
M_tot (μB/f.u.): 0.0

Geometry as CIF:
```
data_ZnTeAs2
_cell_length_a 6.012
_cell_length_b 6.012
_cell_length_c 6.012
_cell_angle_alpha 144.21
_cell_angle_beta 136.28
_cell_angle_gamma 57.73
_space_group_name_H-M_alt 'P 1'
_space_group_IT_number 1
loop_
_space_group_symop_operation_xyz
'x,y,z'
loop_
_atom_site_label
_atom_site_type_symbol
_atom_site_fract_x
_atom_site_fract_y
_atom_site_fract_z
Zn1 Zn 0.750 0.250 0.500
As1 As 0.557 0.557 0.000
As2 As 0.943 0.943 0.000
Te1 Te 0.250 0.750 0.500
```

(8)
Below is a relaxed structure of SmCd2In, with properties calculated at the PBE level.

Excess energy over the best structure of this formula in the dataset (meV per atom): 690
Space group: No. 187
Formation energy (eV/atom): 0.347
M_tot (μB/f.u.): 0.0

Geometry as CIF:
```
data_SmCd2In
_cell_length_a 5.891
_cell_length_b 5.038
_cell_length_c 5.038
_cell_angle_alpha 60.00
_cell_angle_beta 90.00
_cell_angle_gamma 90.00
_space_group_name_H-M_alt 'P 1'
_space_group_IT_number 1
loop_
_space_group_symop_operation_xyz
'x,y,z'
loop_
_atom_site_label
_atom_site_type_symbol
_atom_site_fract_x
_atom_site_fract_y
_atom_site_fract_z
In1 In 0.500 0.667 0.667
Cd1 Cd 0.500 0.333 0.333
Cd2 Cd 0.500 0.000 0.000
Sm1 Sm 0.000 0.000 0.000
```

(9)
Below is a relaxed structure of Ba3TcO8, with properties calculated at the PBE level.

Space group: No. 139
ΔE_f (raw) (eV per atom): -1.4013
M_tot (μB/f.u.): 5.3

Geometry as CIF:
```
data_Ba3TcO8
_cell_length_a 6.158
_cell_length_b 6.158
_cell_length_c 6.884
_cell_angle_alpha 116.57
_cell_angle_beta 116.57
_cell_angle_gamma 90.00
_space_group_name_H-M_alt 'P 1'
_space_group_IT_number 1
loop_
_space_group_symop_operation_xyz
'x,y,z'
loop_
_atom_site_label
_atom_site_type_symbol
_atom_site_fract_x
_atom_site_fract_y
_atom_site_fract_z
O1 O 0.696 0.105 0.800
O2 O 0.304 0.304 0.200
O3 O 0.696 0.696 0.800
O4 O 0.895 0.304 0.200
O5 O 0.105 0.696 0.800
O6 O 0.304 0.895 0.200
O7 O 0.895 0.895 0.200
O8 O 0.105 0.105 0.800
Ba1 Ba 0.750 0.250 0.500
Ba2 Ba 0.250 0.750 0.500
Ba3 Ba 0.500 0.500 0.000
Tc1 Tc 0.000 0.000 0.000
```

(10)
Below is a relaxed structure of CaAlGaAu6, with properties calculated at the PBE level.

Space group: No. 74
Formation energy (eV/atom): -0.296
M_tot (μB/f.u.): 0.0

Geometry as CIF:
```
data_CaAlGaAu6
_cell_length_a 7.345
_cell_length_b 9.299
_cell_length_c 8.018
_cell_angle_alpha 125.44
_cell_angle_beta 117.26
_cell_angle_gamma 90.00
_space_group_name_H-M_alt 'P 1'
_space_group_IT_number 1
loop_
_space_group_symop_operation_xyz
'x,y,z'
loop_
_atom_site_label
_atom_site_type_symbol
_atom_site_fract_x
_atom_site_fract_y
_atom_site_fract_z
Au1 Au 0.071 0.858 0.744
Au2 Au 0.929 0.142 0.256
Au3 Au 0.327 0.614 0.256
Au4 Au 0.583 0.833 0.166
Au5 Au 0.673 0.386 0.744
Au6 Au 0.417 0.167 0.834
Au7 Au 0.071 0.386 0.744
Au8 Au 0.929 0.614 0.256
Au9 Au 0.985 0.235 0.970
Au10 Au 0.327 0.142 0.256
Au11 Au 0.673 0.858 0.744
Au12 Au 0.015 0.765 0.030
Ca1 Ca 0.716 0.466 0.431
Ca2 Ca 0.284 0.534 0.569
Ga1 Ga 0.000 0.000 0.500
Ga2 Ga 0.500 0.000 0.500
Al1 Al 0.500 0.000 0.000
Al2 Al 0.500 0.500 0.000
```